This record from the Alexandria database describes a relaxed structure of KIn2Hg2. The functional is PBEsol.

The excess energy over the best structure of this formula in the dataset is 0.000 eV/atom. The size of the total moment comes out at 0.00 μB/f.u.

It has space group I4/mmm (No. 139), with a = 4.6481 Å, b = 4.6481 Å, c = 12.8562 Å, α = 90.00°, β = 90.00° and γ = 90.00°. The distinct sites, in fractional coordinates, are K at (0.0000, 0.0000, 0.0000), In at (0.0000, 0.5000, 0.2500) and Hg at (0.0000, 0.0000, 0.3907).